The following is a DFT calculation (PBE) of crystalline SrCu3Ag at its relaxed geometry.

a b c (Å): 4.861 4.861 4.861
angles (deg): 90.00 90.00 90.00
Element x y z (fractional)
Cu 0.500 0.000 0.000
Ag 0.000 0.000 0.000
Cu 0.000 0.000 0.500
Sr 0.500 0.500 0.500
Cu 0.000 0.500 0.000

Results
Magnetic moment = 0.00 μB/cell
DFT formation energy = 1.580 eV/f.u.
Space group = No. 221
Final energy = -3.05 eV/atom

The following is a DFT calculation (PBE) of crystalline SrCu3Ag at its relaxed geometry.

a b c (Å): 5.383 5.383 5.383
angles (deg): 90.00 90.00 90.00
Element x y z (fractional)
Sr 0.000 0.000 0.000
Ag 0.500 0.500 0.500
Cu 0.000 0.000 0.500
Cu 0.500 0.000 0.000
Cu 0.000 0.500 0.000

Results
Magnetic moment = 0.00 μB/cell
DFT formation energy = 7.007 eV/f.u.
Space group = No. 221
Final energy = -1.96 eV/atom

The following is a DFT calculation (PBE) of crystalline Sr4Cu3Ag at its relaxed geometry.

a b c (Å): 4.484 4.478 11.784
angles (deg): 90.00 90.00 90.00
Element x y z (fractional)
Sr 0.500 0.000 0.639
Cu 0.500 0.000 0.933
Sr 0.000 0.500 0.856
Ag 0.500 0.500 0.063
Sr 0.500 0.500 0.365
Cu 0.000 0.500 0.555
Sr 0.000 0.000 0.142
Cu 0.000 0.000 0.447

Results
Magnetic moment = 0.00 μB/cell
DFT formation energy = -1.096 eV/f.u.
Space group = No. 25
Final energy = -2.87 eV/atom

The following is a DFT calculation (PBE) of crystalline SrCu2Ag9 at its relaxed geometry.

a b c (Å): 7.291 8.772 8.772
angles (deg): 80.05 65.44 65.44
Element x y z (fractional)
Ag 0.066 0.921 0.324
Ag 0.610 0.324 0.079
Ag 0.014 0.676 0.921
Ag 0.610 0.079 0.324
Ag 0.310 0.079 0.676
Ag 0.140 0.421 0.176
Ag 0.310 0.676 0.079
Ag 0.066 0.324 0.921
Ag 0.440 0.824 0.421
Cu 0.875 0.250 0.750
Ag 0.736 0.579 0.824
Ag 0.014 0.921 0.676
Ag 0.140 0.176 0.421
Sr 0.500 0.000 0.000
Ag 0.750 0.500 0.500
Ag 0.736 0.824 0.579
Ag 0.684 0.579 0.176
Ag 0.684 0.176 0.579
Ag 0.440 0.421 0.824
Cu 0.875 0.750 0.250
Ag 0.000 0.000 0.000
Cu 0.875 0.250 0.250
Sr 0.250 0.500 0.500
Cu 0.375 0.750 0.750

Results
Magnetic moment = 0.00 μB/cell
DFT formation energy = -0.466 eV/f.u.
Space group = No. 141
Final energy = -3.00 eV/atom

The following is a DFT calculation (PBE) of crystalline Sr3CuAg at its relaxed geometry.

a b c (Å): 5.847 5.847 5.847
angles (deg): 90.00 90.00 90.00
Element x y z (fractional)
Ag 0.500 0.500 0.500
Cu 0.000 0.000 0.000
Sr 0.000 0.500 0.000
Sr 0.000 0.000 0.500
Sr 0.500 0.000 0.000

Results
Magnetic moment = 0.00 μB/cell
DFT formation energy = 0.352 eV/f.u.
Space group = No. 221
Final energy = -2.33 eV/atom

The following is a DFT calculation (PBE) of crystalline Sr6CuAg at its relaxed geometry.

a b c (Å): 7.633 7.633 14.544
angles (deg): 90.00 90.00 120.00
Element x y z (fractional)
Sr 0.669 0.675 0.623
Cu 0.000 0.000 0.000
Sr 0.331 0.005 0.123
Ag 0.333 0.667 0.250
Sr 0.005 0.331 0.623
Cu 0.000 0.000 0.500
Sr 0.331 0.325 0.377
Sr 0.995 0.325 0.123
Sr 0.675 0.669 0.123
Sr 0.325 0.995 0.623
Sr 0.995 0.669 0.377
Ag 0.667 0.333 0.750
Sr 0.005 0.675 0.877
Sr 0.325 0.331 0.877
Sr 0.675 0.005 0.377
Sr 0.669 0.995 0.877

Results
Magnetic moment = 0.00 μB/cell
DFT formation energy = -0.548 eV/f.u.
Space group = No. 163
Final energy = -2.20 eV/atom